Record 1
Entry from Alexandria: SrPdS after structural relaxation (PBE).

Computed properties:
Space-group type: Pnma
Crystal system: orthorhombic
E_form (uncorrected): -1.157 eV per atom
DFT total energy: -4.825 eV/atom

```
SrPdS
1.0
-2.813 3.541 -7.940
-2.426 -3.139 -0.541
-5.761 3.808 3.739
Pd Sr S
4 4 4
Cartesian
-4.133 2.340 -2.455
-6.867 1.870 -2.287
-6.978 1.102 2.668
-4.021 3.107 -7.410
-3.861 0.177 -5.942
-7.138 4.033 1.200
-5.795 3.986 -4.555
-5.204 0.224 -0.188
-4.251 -0.026 -3.010
-6.083 2.025 -6.704
-6.748 4.236 -1.733
-4.916 2.184 1.961
```

=====

Record 2
Entry from Alexandria: SrPdS after structural relaxation (PBE).

Computed properties:
Space-group type: P6_3/mmc
Crystal system: hexagonal
E_form (uncorrected): -1.217 eV per atom
DFT total energy: -4.885 eV/atom

```
SrPdS
1.0
-0.171 -4.300 -0.015
7.765 -0.318 2.357
-1.168 -2.121 3.561
Pd Sr S
2 2 2
Cartesian
6.057 -2.196 4.294
2.449 -4.199 1.917
-0.214 -4.099 3.708
3.669 -4.258 4.886
2.174 -2.039 3.117
6.332 -4.357 3.095
```

=====

Record 3
Entry from Alexandria: SrPdS after structural relaxation (PBE).

Computed properties:
Space-group type: P1
Crystal system: triclinic
E_form (uncorrected): -1.105 eV per atom
DFT total energy: -4.772 eV/atom

```
SrPdS
1.0
9.102 -0.002 0.011
-1.598 3.949 -0.004
1.723 0.687 3.980
Pd Sr S
2 2 2
Cartesian
1.319 0.495 2.352
-0.163 2.901 0.204
4.178 2.610 3.781
6.515 1.364 0.515
6.572 3.729 2.537
2.206 4.247 1.898
```

=====

Record 4
Entry from Alexandria: SrPd2S after structural relaxation (PBE).

Computed properties:
Space-group type: I-42d
Crystal system: tetragonal
E_form (uncorrected): -0.708 eV per atom
DFT total energy: -4.757 eV/atom

```
SrPd2S
1.0
-2.630 -4.052 1.697
4.097 -2.976 -0.756
3.089 -2.072 7.562
S Pd Sr
2 4 2
Cartesian
0.733 -3.514 0.471
3.960 -4.281 3.639
3.590 -4.715 5.891
2.540 -3.600 1.930
2.877 -7.178 6.629
0.105 -2.707 2.557
0.596 -4.819 4.865
0.000 0.000 0.000
```

=====

Record 5
Entry from Alexandria: SrPdS after structural relaxation (PBE).

Computed properties:
Space-group type: Pmc2_1
Crystal system: orthorhombic
E_form (uncorrected): -1.170 eV per atom
DFT total energy: -4.837 eV/atom

```
SrPdS
1.0
-4.215 0.336 -3.456
-3.155 -4.335 3.426
-1.606 2.943 2.248
Sr S Pd
2 2 2
Cartesian
-4.364 -0.599 2.546
-4.561 2.196 -1.256
-1.613 0.574 -0.650
-5.662 -1.924 -0.270
-1.542 -0.849 1.268
-3.639 -0.667 -0.471
```

=====

Record 6
Entry from Alexandria: SrPdS after structural relaxation (PBE).

Computed properties:
Space-group type: P1
Crystal system: triclinic
E_form (uncorrected): -1.204 eV per atom
DFT total energy: -4.871 eV/atom

```
SrPdS
1.0
-1.751 1.534 -3.430
-7.142 1.204 4.183
-0.047 4.092 1.840
Pd Sr S
2 2 2
Cartesian
-2.581 4.126 2.461
-6.900 1.680 3.582
-2.048 3.067 -0.784
-5.613 3.686 1.312
-6.315 3.853 4.251
-3.175 1.951 1.795
```

=====

Record 7
Entry from Alexandria: SrPdS after structural relaxation (PBE).

Computed properties:
Space-group type: Cmcm
Crystal system: orthorhombic
E_form (uncorrected): -1.233 eV per atom
DFT total energy: -4.901 eV/atom

```
SrPdS
1.0
4.889 0.000 0.000
0.001 5.982 -0.001
-1.350 0.001 4.701
S Sr Pd
2 2 2
Cartesian
3.647 2.257 4.309
2.022 5.247 1.851
1.352 2.257 2.354
-0.573 5.248 3.806
3.509 3.751 0.729
3.508 0.760 0.729
```

=====

Record 8
Entry from Alexandria: SrPd3S after structural relaxation (PBE).

Computed properties:
Space-group type: Pm-3m
Distance to the lowest polymorph of the same formula: 1.739 eV/atom
Crystal system: cubic
E_form (uncorrected): 1.118 eV per atom
DFT total energy: -3.160 eV/atom

```
SrPd3S
1.0
5.133 0.000 0.000
0.000 5.133 0.000
0.000 0.000 5.133
Pd Sr S
3 1 1
Cartesian
0.000 0.000 2.567
0.000 2.567 0.000
2.567 0.000 0.000
0.000 0.000 0.000
2.567 2.567 2.567
```

=====

Record 9
Entry from Alexandria: SrPdS after structural relaxation (PBE).

Computed properties:
Space-group type: Cm
Crystal system: monoclinic
E_form (uncorrected): -1.131 eV per atom
DFT total energy: -4.798 eV/atom

```
SrPdS
1.0
3.994 0.000 0.000
-1.998 5.250 0.057
0.001 -1.699 6.617
Sr Pd S
2 2 2
Cartesian
0.244 -0.193 3.658
0.244 2.621 6.592
2.241 2.199 1.379
0.244 2.766 3.060
2.241 2.073 4.373
0.244 1.289 0.301
```

=====

Record 10
Entry from Alexandria: SrPdS2 after structural relaxation (PBE).

Computed properties:
Space-group type: R-3m
Crystal system: trigonal
E_form (uncorrected): -0.633 eV per atom
DFT total energy: -4.415 eV/atom

```
SrPdS2
1.0
6.725 -1.509 3.428
5.924 -4.896 0.440
7.577 -0.880 -1.035
Sr Pd S
1 1 2
Cartesian
10.114 -3.642 1.417
0.000 0.000 0.000
18.148 -6.536 2.542
2.079 -0.749 0.291
```

=====

Record 11
Entry from Alexandria: SrPdS3 after structural relaxation (PBE).

Computed properties:
Space-group type: Pm-3m
Distance to the lowest polymorph of the same formula: 1.377 eV/atom
Crystal system: cubic
E_form (uncorrected): 0.745 eV per atom
DFT total energy: -3.106 eV/atom

```
SrPdS3
1.0
-2.075 4.363 2.613
-4.947 -1.076 -2.132
-1.182 -3.159 4.336
Sr S Pd
1 3 1
Cartesian
0.000 0.000 0.000
-1.037 2.182 1.307
-2.473 -0.538 -1.066
-0.591 -1.579 2.168
-4.102 0.064 2.408
```

=====

Record 12
Entry from Alexandria: SrU4Pd3S12 after structural relaxation (PBE).

Computed properties:
Space-group type: Im-3
Crystal system: cubic
E_form (uncorrected): -1.036 eV per atom
DFT total energy: -6.633 eV/atom

```
SrU4Pd3S12
1.0
-2.866 7.152 -3.428
2.350 -5.306 -6.119
-6.104 -3.551 4.609
S U Sr Pd
12 4 1 3
Cartesian
-2.678 -5.829 -2.566
-5.031 -2.848 -2.180
-3.942 4.125 -2.372
-6.801 1.078 0.576
-1.787 1.851 -6.413
-3.367 -0.301 0.124
-1.241 -2.439 -1.988
0.180 -2.782 -5.514
-3.254 -1.404 -5.062
-5.379 0.734 -2.950
-1.589 1.144 -2.758
-4.834 -3.555 1.475
-1.433 3.576 -1.714
1.175 -2.653 -3.060
-3.310 -0.852 -2.469
-3.052 -1.776 2.305
0.000 0.000 0.000
-4.485 1.801 0.591
-0.258 0.923 -4.774
-1.877 -4.428 -0.755
```

=====

| no. | DOS at the Fermi energy (states/eV per cell) |
| --- | --- |
| 1 | 0.6 |
| 2 | 0.0 |
| 3 | 0.0 |
| 4 | 1.1 |
| 5 | 0.5 |
| 6 | 0.0 |
| 7 | 0.0 |
| 8 | 2.5 |
| 9 | 0.0 |
| 10 | 2.6 |
| 11 | 17.8 |
| 12 | 27.4 |